Entry 1:
Density functional theory data (PBE) for crystalline SiP2Au at its relaxed geometry.

Output
Total magnetization ... 0.00 μB/f.u.
Theoretical density ... 5932 kg/m3
ΔE_f (raw) ... 0.226 eV/atom
Space-group type ... C2/m, No. 12

a b c (Å): 5.4041 5.4041 4.9327
angles (deg): 71.31 71.31 36.33
Last column: nearest neighbours and their distance in Å.
Sites, in units of the cell vectors:
Au: 0.2500 0.2500 0.2500  2 P 2.39
P: 0.0885 0.0885 0.7314  2 Si 2.39, 1 Au 2.39, 2 P 2.44
P: 0.4115 0.4115 0.7686  2 Si 2.39, 1 Au 2.39, 2 P 2.44
Si: 0.7500 0.7500 0.7500  4 P 2.39

***

Entry 2:
Density functional theory data (PBE) for crystalline Si3PAu at its relaxed geometry.

Output
Total magnetization ... 0.00 μB/f.u.
Theoretical density ... 5747 kg/m3
ΔE_f (raw) ... 0.769 eV/atom
Space-group type ... Pm-3m, No. 221

a b c (Å): 4.4848 4.4848 4.4848
angles (deg): 90.00 90.00 90.00
Last column: nearest neighbours and their distance in Å.
Sites, in units of the cell vectors:
P: 0.0000 0.0000 0.0000  6 Si 2.24
Si: 0.0000 0.5000 0.0000  2 P 2.24
Si: 0.0000 0.0000 0.5000  2 P 2.24
Si: 0.5000 0.0000 0.0000  2 P 2.24
Au: 0.5000 0.5000 0.5000  12 Si 3.17

***

Entry 3:
Density functional theory data (PBE) for crystalline Si2PAu2 at its relaxed geometry.

Output
Total magnetization ... 0.00 μB/f.u.
Theoretical density ... 8800 kg/m3
ΔE_f (raw) ... 0.460 eV/atom
Space-group type ... I4/mmm, No. 139

a b c (Å): 4.0981 4.0981 6.1332
angles (deg): 70.48 70.48 90.00
Last column: nearest neighbours and their distance in Å.
Sites, in units of the cell vectors:
P: 0.0000 0.0000 0.0000  8 Si 3.12, 8 Au 3.39
Si: 0.3941 0.3941 0.2117  1 Si 2.29
Si: 0.6059 0.6059 0.7883  1 Si 2.29
Au: 0.7500 0.2500 0.5000  4 Si 2.57
Au: 0.2500 0.7500 0.5000  4 Si 2.57

***

Entry 4:
Density functional theory data (PBE) for crystalline SrSi2PAu at its relaxed geometry.

Output
Total magnetization ... 0.00 μB/f.u.
Theoretical density ... 4633 kg/m3
ΔE_f (raw) ... 0.416 eV/atom
Space-group type ... P4/mmm, No. 123

a b c (Å): 4.7041 6.0211 4.7041
angles (deg): 90.00 90.00 90.00
Last column: nearest neighbours and their distance in Å.
Sites, in units of the cell vectors:
Sr: 0.0000 0.5000 0.0000  2 Au 3.01, 4 P 3.33
Si: 0.0000 0.0000 0.5000  2 Au 2.35
Si: 0.5000 0.0000 0.0000  2 Au 2.35
Au: 0.0000 0.0000 0.0000  4 Si 2.35
P: 0.5000 0.5000 0.5000  4 Sr 3.33